Entry 1:
The following is a PBE calculation of MnNiTe2N after structural relaxation, from Alexandria.

The structure belongs to space group P4/mmm (No. 123); the cell edges are 5.3900, 5.3900 and 3.4178 Å and the angles 90.00°, 90.00° and 90.00°. Symmetry generates all atoms from Mn at (0.0000, 0.0000, 0.0000), Ni at (0.5000, 0.5000, 0.5000), Te at (0.0000, 0.5000, 0.5000) and N at (0.5000, 0.5000, 0.0000).

The uncorrected formation energy comes out at 508 meV per atom. For the relative energy among the computed polymorphs, the calculation gives 129 meV per atom. For the size of the total moment, the calculation gives 0.895 μB/atom.

---

Entry 2:
The following is a PBE calculation of LiSc2CuAu after structural relaxation, from Alexandria.

The structure belongs to space group P4/mmm (No. 123); the cell edges are 4.9185, 4.9185 and 4.8064 Å and the angles 90.00°, 90.00° and 90.00°. Symmetry generates all atoms from Li at (0.0000, 0.0000, 0.0000), Sc at (0.0000, 0.5000, 0.5000), Cu at (0.5000, 0.5000, 0.5000) and Au at (0.5000, 0.5000, 0.0000).

For the size of the total moment, the calculation gives 0.000 μB/atom. As for the formation energy: 151 meV per atom.